(1)
# PmBC PBE optimized geometry
data_PmBC
_chemical_formula_sum 'Pm4 B4 C4'
_cell_length_a 4.368
_cell_length_b 7.471
_cell_length_c 5.876
_cell_angle_alpha 90.00
_cell_angle_beta 90.00
_cell_angle_gamma 90.00
_symmetry_space_group_name_H-M 'P b c m'
_symmetry_Int_Tables_number 57
loop_
_symmetry_equiv_pos_as_xyz
'x,y,z'
'-x,-y,-z'
'-x,-y,z+1/2'
'x,y,-z+1/2'
'x,-y+1/2,-z'
'-x,y+1/2,z'
'-x,y+1/2,-z+1/2'
'x,-y+1/2,z+1/2'
loop_
_atom_site_label
_atom_site_type_symbol
_atom_site_fract_x
_atom_site_fract_y
_atom_site_fract_z
Pm1 Pm 0.238 0.085 0.250
B1 B 0.244 0.750 0.000
C1 C 0.270 0.750 0.250
# Formation energy   -0.234 eV/atom

***

(2)
# Pm2BC2 PBE optimized geometry
data_Pm2BC2
_chemical_formula_sum 'Pm8 B4 C8'
_cell_length_a 3.172
_cell_length_b 14.512
_cell_length_c 6.427
_cell_angle_alpha 90.00
_cell_angle_beta 90.00
_cell_angle_gamma 90.00
_symmetry_space_group_name_H-M 'C m c 21'
_symmetry_Int_Tables_number 36
loop_
_symmetry_equiv_pos_as_xyz
'x,y,z'
'-x,-y,z+1/2'
'-x,y,z'
'x,-y,z+1/2'
'x+1/2,y+1/2,z'
'-x+1/2,-y+1/2,z+1/2'
'-x+1/2,y+1/2,z'
'x+1/2,-y+1/2,z+1/2'
loop_
_atom_site_label
_atom_site_type_symbol
_atom_site_fract_x
_atom_site_fract_y
_atom_site_fract_z
Pm1 Pm 0.000 0.036 0.000
Pm2 Pm 0.000 0.225 0.687
B1 B 0.000 0.381 0.934
C1 C 0.000 0.141 0.328
C2 C 0.000 0.418 0.168
# Formation energy   -0.080 eV/atom

***

(3)
# PmB2Pt2C PBE optimized geometry
data_PmB2Pt2C
_chemical_formula_sum 'Pm2 B4 Pt4 C2'
_cell_length_a 3.843
_cell_length_b 3.843
_cell_length_c 10.832
_cell_angle_alpha 90.00
_cell_angle_beta 90.00
_cell_angle_gamma 90.00
_symmetry_space_group_name_H-M 'I 4/m m m'
_symmetry_Int_Tables_number 139
_symmetry_space_group_name_Hall '-I 4 2'
loop_
_atom_site_label
_atom_site_type_symbol
_atom_site_fract_x
_atom_site_fract_y
_atom_site_fract_z
Pm1 Pm 0.000 0.000 0.000
B1 B 0.000 0.000 0.363
Pt1 Pt 0.000 0.500 0.250
C1 C 0.000 0.000 0.500
# Formation energy   -0.628 eV/atom

***

(4)
# PmRe2BC PBE optimized geometry
data_PmRe2BC
_chemical_formula_sum 'Pm4 Re8 B4 C4'
_cell_length_a 3.708
_cell_length_b 10.791
_cell_length_c 7.222
_cell_angle_alpha 90.00
_cell_angle_beta 90.00
_cell_angle_gamma 90.00
_symmetry_space_group_name_H-M 'C m c m'
_symmetry_Int_Tables_number 63
_symmetry_space_group_name_Hall '-C 2c 2'
loop_
_atom_site_label
_atom_site_type_symbol
_atom_site_fract_x
_atom_site_fract_y
_atom_site_fract_z
Pm1 Pm 0.000 0.041 0.250
Re1 Re 0.000 0.322 0.064
B1 B 0.000 0.234 0.750
C1 C 0.000 0.500 0.000
# Formation energy   -0.292 eV/atom

***

(5)
# PmBRhC PBE optimized geometry
data_PmBRhC
_chemical_formula_sum 'Pm2 B2 Rh2 C2'
_cell_length_a 3.793
_cell_length_b 3.793
_cell_length_c 7.847
_cell_angle_alpha 90.00
_cell_angle_beta 90.00
_cell_angle_gamma 90.00
_symmetry_space_group_name_H-M 'P 4/n m m'
_symmetry_Int_Tables_number 129
loop_
_symmetry_equiv_pos_as_xyz
'x,y,z'
'-x,-y,-z'
'-y+1/2,x,z'
'y+1/2,-x,-z'
'-x+1/2,-y+1/2,z'
'x+1/2,y+1/2,-z'
'y,-x+1/2,z'
'-y,x+1/2,-z'
'x+1/2,-y,-z'
'-x+1/2,y,z'
'-y,-x,-z'
'y,x,z'
'-x,y+1/2,-z'
'x,-y+1/2,z'
'y+1/2,x+1/2,-z'
'-y+1/2,-x+1/2,z'
loop_
_atom_site_label
_atom_site_type_symbol
_atom_site_fract_x
_atom_site_fract_y
_atom_site_fract_z
Pm1 Pm 0.250 0.250 0.167
B1 B 0.250 0.250 0.655
Rh1 Rh 0.250 0.750 0.500
C1 C 0.250 0.250 0.847
# Formation energy   -0.460 eV/atom

***

(6)
# Pm2B2Ru2C PBE optimized geometry
data_Pm2B2Ru2C
_chemical_formula_sum 'Pm4 B4 Ru4 C2'
_cell_length_a 10.958
_cell_length_b 3.743
_cell_length_c 6.769
_cell_angle_alpha 90.00
_cell_angle_beta 126.35
_cell_angle_gamma 90.00
_symmetry_space_group_name_H-M 'C 1 2/m 1'
_symmetry_Int_Tables_number 12
loop_
_symmetry_equiv_pos_as_xyz
'x,y,z'
'-x,-y,-z'
'-x,y,-z'
'x,-y,z'
'x+1/2,y+1/2,z'
'-x+1/2,-y+1/2,-z'
'-x+1/2,y+1/2,-z'
'x+1/2,-y+1/2,z'
loop_
_atom_site_label
_atom_site_type_symbol
_atom_site_fract_x
_atom_site_fract_y
_atom_site_fract_z
Pm1 Pm 0.064 0.000 0.321
B1 B 0.194 0.500 0.762
Ru1 Ru 0.202 0.500 0.096
C1 C 0.000 0.500 0.000
# Formation energy   -0.413 eV/atom

***

(7)
# PmBRuC PBE optimized geometry
data_PmBRuC
_chemical_formula_sum 'Pm2 B2 Ru2 C2'
_cell_length_a 3.737
_cell_length_b 3.737
_cell_length_c 8.058
_cell_angle_alpha 90.00
_cell_angle_beta 90.00
_cell_angle_gamma 90.00
_symmetry_space_group_name_H-M 'P 4/n m m'
_symmetry_Int_Tables_number 129
loop_
_symmetry_equiv_pos_as_xyz
'x,y,z'
'-x,-y,-z'
'-y+1/2,x,z'
'y+1/2,-x,-z'
'-x+1/2,-y+1/2,z'
'x+1/2,y+1/2,-z'
'y,-x+1/2,z'
'-y,x+1/2,-z'
'x+1/2,-y,-z'
'-x+1/2,y,z'
'-y,-x,-z'
'y,x,z'
'-x,y+1/2,-z'
'x,-y+1/2,z'
'y+1/2,x+1/2,-z'
'-y+1/2,-x+1/2,z'
loop_
_atom_site_label
_atom_site_type_symbol
_atom_site_fract_x
_atom_site_fract_y
_atom_site_fract_z
Pm1 Pm 0.250 0.250 0.165
B1 B 0.250 0.250 0.664
Ru1 Ru 0.250 0.750 0.500
C1 C 0.250 0.250 0.851
# Formation energy   -0.252 eV/atom

***

(8)
# Pm2SiBC PBE optimized geometry
data_Pm2SiBC
_chemical_formula_sum 'Pm4 Si2 B2 C2'
_cell_length_a 6.210
_cell_length_b 3.673
_cell_length_c 8.349
_cell_angle_alpha 90.00
_cell_angle_beta 109.04
_cell_angle_gamma 90.00
_symmetry_space_group_name_H-M 'P 1 21/m 1'
_symmetry_Int_Tables_number 11
loop_
_symmetry_equiv_pos_as_xyz
'x,y,z'
'-x,-y,-z'
'-x,y+1/2,-z'
'x,-y+1/2,z'
loop_
_atom_site_label
_atom_site_type_symbol
_atom_site_fract_x
_atom_site_fract_y
_atom_site_fract_z
Pm1 Pm 0.216 0.250 0.396
Pm2 Pm 0.224 0.250 0.963
Si1 Si 0.343 0.750 0.706
B1 B 0.448 0.750 0.243
C1 C 0.189 0.750 0.173
# Raw formation energy   -537 meV per atom

***

(9)
# PmTa2BC4 PBE optimized geometry
data_PmTa2BC4
_chemical_formula_sum 'Pm4 Ta8 B4 C16'
_cell_length_a 3.191
_cell_length_b 10.789
_cell_length_c 10.612
_cell_angle_alpha 90.00
_cell_angle_beta 90.00
_cell_angle_gamma 90.00
_symmetry_space_group_name_H-M 'C m c m'
_symmetry_Int_Tables_number 63
_symmetry_space_group_name_Hall '-C 2c 2'
loop_
_atom_site_label
_atom_site_type_symbol
_atom_site_fract_x
_atom_site_fract_y
_atom_site_fract_z
Pm1 Pm 0.000 0.094 0.250
Ta1 Ta 0.000 0.366 0.048
B1 B 0.000 0.176 0.750
C1 C 0.000 0.000 0.000
C2 C 0.000 0.263 0.622
C3 C 0.000 0.412 0.250
# Formation energy   -0.253 eV/atom

***

(10)
# PmTc2BC PBE optimized geometry
data_PmTc2BC
_chemical_formula_sum 'Pm4 Tc8 B4 C4'
_cell_length_a 3.711
_cell_length_b 10.728
_cell_length_c 7.171
_cell_angle_alpha 90.00
_cell_angle_beta 90.00
_cell_angle_gamma 90.00
_symmetry_space_group_name_H-M 'C m c m'
_symmetry_Int_Tables_number 63
_symmetry_space_group_name_Hall '-C 2c 2'
loop_
_atom_site_label
_atom_site_type_symbol
_atom_site_fract_x
_atom_site_fract_y
_atom_site_fract_z
Pm1 Pm 0.000 0.041 0.250
Tc1 Tc 0.000 0.322 0.063
B1 B 0.000 0.232 0.750
C1 C 0.000 0.500 0.000
# Formation energy   -0.300 eV/atom

***

(11)
# Pm2Tc2B2C PBE optimized geometry
data_Pm2Tc2B2C
_chemical_formula_sum 'Pm4 Tc4 B4 C2'
_cell_length_a 11.024
_cell_length_b 3.688
_cell_length_c 6.818
_cell_angle_alpha 90.00
_cell_angle_beta 125.07
_cell_angle_gamma 90.00
_symmetry_space_group_name_H-M 'C 1 2/m 1'
_symmetry_Int_Tables_number 12
loop_
_symmetry_equiv_pos_as_xyz
'x,y,z'
'-x,-y,-z'
'-x,y,-z'
'x,-y,z'
'x+1/2,y+1/2,z'
'-x+1/2,-y+1/2,-z'
'-x+1/2,y+1/2,-z'
'x+1/2,-y+1/2,z'
loop_
_atom_site_label
_atom_site_type_symbol
_atom_site_fract_x
_atom_site_fract_y
_atom_site_fract_z
Pm1 Pm 0.070 0.000 0.326
Tc1 Tc 0.202 0.500 0.091
B1 B 0.186 0.500 0.750
C1 C 0.000 0.500 0.000
# Formation energy   -0.347 eV/atom

***

(12)
# Pr4B5C2 PBE optimized geometry
data_Pr4B5C2
_chemical_formula_sum 'Pr4 B5 C2'
_cell_length_a 6.809
_cell_length_b 3.823
_cell_length_c 7.099
_cell_angle_alpha 90.00
_cell_angle_beta 90.69
_cell_angle_gamma 90.00
_symmetry_space_group_name_H-M 'P 1 2/m 1'
_symmetry_Int_Tables_number 10
loop_
_symmetry_equiv_pos_as_xyz
'x,y,z'
'-x,-y,-z'
'-x,y,-z'
'x,-y,z'
loop_
_atom_site_label
_atom_site_type_symbol
_atom_site_fract_x
_atom_site_fract_y
_atom_site_fract_z
Pr1 Pr 0.226 0.000 0.117
Pr2 Pr 0.250 0.000 0.586
B1 B 0.100 0.500 0.786
B2 B 0.329 0.500 0.853
B3 B 0.500 0.500 0.000
C1 C 0.026 0.500 0.397
# Formation energy   -0.129 eV/atom